## PrGeAsPt2 (PBE)

Data for PrGeAsPt2 after structural relaxation.

Computed properties:
Magnetic moment in μB per formula unit: 0.0
E_tot in eV per atom: -6.14

Cell: 4.461 4.461 9.951 Å, 90.00 90.00 90.00°
Fractional coordinates of all 10 atoms:
1 Pr 0.250 0.250 0.249
2 Pr 0.750 0.750 0.751
3 Ge 0.250 0.250 0.629
4 Ge 0.750 0.750 0.371
5 As 0.250 0.750 0.000
6 As 0.750 0.250 0.000
7 Pt 0.250 0.250 0.877
8 Pt 0.250 0.750 0.500
9 Pt 0.750 0.250 0.500
10 Pt 0.750 0.750 0.123